No. 1
MgGeMo2 | PBE-GGA | optimized geometry

Output
E in eV per atom: -6.856

Structure (extended XYZ):
```
4
Lattice="0.0000 3.1500 3.1500 3.1500 0.0000 3.1500 3.1500 3.1500 0.0000" Properties=species:S:1:pos:R:3 pbc="T T T"
Mo 4.7249 4.7249 4.7249
Ge 3.1500 3.1500 3.1500
Mg 1.5750 1.5750 1.5750
Mo 0.0000 0.0000 0.0000
```

No. 2
Mg2GeMo | PBE-GGA | optimized geometry

Output
E in eV per atom: -4.326

Structure (extended XYZ):
```
4
Lattice="-1.6344 -2.4283 3.5121 -4.5137 -0.4967 0.5318 -1.9559 -4.0648 -0.7448" Properties=species:S:1:pos:R:3 pbc="T T T"
Mo -2.0260 -1.7474 0.8248
Mg 0.0000 0.0000 0.0000
Mg -6.0780 -5.2423 2.4744
Ge -4.0520 -3.4949 1.6496
```

No. 3
MgGe2Mo | PBE-GGA | optimized geometry

Output
E in eV per atom: -4.869

Structure (extended XYZ):
```
4
Lattice="2.0666 0.8156 4.0214 3.0663 3.4025 0.3585 -1.0368 3.7844 2.3897" Properties=species:S:1:pos:R:3 pbc="T T T"
Mo 1.0240 2.0006 1.6924
Ge 0.0000 0.0000 0.0000
Ge 3.0721 6.0019 5.0771
Mg 2.0480 4.0013 3.3848
```

No. 4
MgGeTeMo | PBE-GGA | optimized geometry

Output
E in eV per atom: -4.797

Structure (extended XYZ):
```
4
Lattice="0.0000 3.3429 3.3429 3.3429 0.0000 3.3429 3.3429 3.3429 0.0000" Properties=species:S:1:pos:R:3 pbc="T T T"
Te 3.3429 3.3429 3.3429
Mg 5.0144 5.0144 5.0144
Ge 0.0000 0.0000 0.0000
Mo 1.6714 1.6714 1.6714
```

No. 5
Na2Mg2Ge2PdPt | PBE-GGA | optimized geometry

Output
E in eV per atom: -3.598

Structure (extended XYZ):
```
8
Lattice="4.6109 0.0000 0.0000 0.0000 4.6109 0.0000 0.0000 0.0000 6.5020" Properties=species:S:1:pos:R:3 pbc="T T T"
Ge 0.0000 2.3055 1.6334
Na 0.0000 0.0000 3.2510
Mg 0.0000 2.3055 4.8659
Ge 2.3055 0.0000 4.8686
Mg 2.3055 0.0000 1.6361
Pt 2.3055 2.3055 3.2510
Pd 0.0000 0.0000 0.0000
Na 2.3055 2.3055 0.0000
```

No. 6
Na2Mg2SnGePd2 | PBE-GGA | optimized geometry

Output
E in eV per atom: -3.398

Structure (extended XYZ):
```
8
Lattice="4.6976 0.0000 0.0000 0.0000 4.6976 0.0000 0.0000 0.0000 6.7026" Properties=species:S:1:pos:R:3 pbc="T T T"
Mg 0.0000 0.0000 3.3513
Na 0.0000 2.3488 5.1215
Sn 2.3488 2.3488 3.3513
Na 2.3488 0.0000 1.5811
Ge 0.0000 0.0000 0.0000
Mg 2.3488 2.3488 0.0000
Pd 2.3488 0.0000 5.0810
Pd 0.0000 2.3488 1.6215
```